Material: CaLaPb
Method: DFT, PBE
State: optimized geometry

Values from the calculation:
**E_tot**: -11.25 eV per cell
**ΔE_f**: -0.21 eV per atom

Cell lengths 3.7233, 3.7233, 8.7377 Å; angles 90.00, 90.00, 120.00 degrees
Fractional coordinates of all 3 atoms:
Ca (0.0000, 0.0000, 0.0000)
La (0.3333, 0.6667, 0.3888)
Pb (0.6667, 0.3333, 0.7022)

---

Material: Ce2In2Ag
Method: DFT, PBE
State: optimized geometry

Values from the calculation:
**E_tot**: -43.19 eV per cell
**ΔE_f**: -0.28 eV per atom

Cell lengths 6.0252, 6.0252, 9.8553 Å; angles 105.17, 105.17, 49.59 degrees
Fractional coordinates of all 10 atoms:
Ce (0.0567, 0.0567, 0.3355)
Ce (0.1599, 0.1599, 0.0992)
Ce (0.8401, 0.8401, 0.9008)
Ce (0.9433, 0.9433, 0.6645)
In (0.3700, 0.3700, 0.4109)
In (0.4663, 0.4663, 0.1337)
In (0.5337, 0.5337, 0.8663)
In (0.6300, 0.6300, 0.5891)
Ag (0.2583, 0.2583, 0.6724)
Ag (0.7417, 0.7417, 0.3276)

---

Material: CaAcPbN
Method: DFT, PBE
State: optimized geometry

Values from the calculation:
**E_tot**: -21.15 eV per cell
**Formation energy without anion corrections**: -0.75 eV per atom

Cell lengths 8.5540, 8.5540, 8.5540 Å; angles 26.08, 26.08, 26.08 degrees
Fractional coordinates of all 4 atoms:
Ca (0.0000, 0.0000, 0.0000)
Ac (0.4482, 0.4482, 0.4482)
Pb (0.2323, 0.2323, 0.2323)
N (0.7310, 0.7310, 0.7310)